First-principles (GGA-PBE) data for a relaxed CsPmS2 crystal, as listed in the Alexandria database.

Cell: 3.645 3.645 8.203 Å, 90.00 90.00 90.00°
Fractional coordinates of all 4 atoms:
Cs 0.500 0.500 0.500
S 0.000 0.000 0.193
S 0.000 0.000 0.807
Pm 0.500 0.500 0.000

## Properties
symmetry = No. 123
E_tot = -0.184 Ha/atom
ΔE_f (raw) = -1.544 eV per atom